A relaxed structure of Fe2SbPbO6. Source: Alexandria via LeMat-Bulk, functional PBE with a Hubbard U.

The structure in extended XYZ format:
```
10
Lattice="5.4331 0.0000 0.0000 -2.6994 4.7155 0.0000 -0.0973 -3.0781 5.1074" Properties=species:S:1:pos:R:3 pbc="T T T"
Fe 0.0000 0.0000 0.0000
Fe -0.0212 3.1829 2.2950
Sb 2.7229 1.5776 0.3239
Pb -0.0807 0.0414 3.2904
O -0.9140 1.4925 1.2479
O 1.1316 -1.8806 4.1014
O 1.7851 0.0477 1.2680
O 0.9843 2.1049 4.0633
O 1.8979 3.1631 1.2633
O 3.0898 -0.0148 4.1125
```

Results
space group	P1 (1)
E_tot	-6.241	eV per atom
magnetic moment	0.900	μB per atom